PBE Ca2InH, relaxed; DOS(E_F) = 1.3 states/eV per cell; energy above the lowest structure with this stoichiometry = 0.0 meV per atom; SG = P2/m; calculated total energy = -2.849 eV per atom
1.0
3.8872 0.0000 0.0000
0.0000 3.4465 0.0000
-0.0324 0.0000 7.5291
Ca In H
2 1 1
Direct
0.0026 0.0000 0.2681
0.9974 0.0000 0.7319
0.5000 0.5000 0.0000
0.0000 0.5000 0.5000